1.
This record from Alexandria via LeMat-Bulk describes a geometry-optimized CdPCl structure. The functional is PBE.

## Properties
As for the mass density: 3.93 Mg/m³. The crystal system is cubic. For the density of states at the Fermi level, the calculation gives 0.8 states/eV/cell. Its energy above the most stable polymorph in this dataset is 0.910 eV/atom. The raw formation energy comes out at 0.390 eV per atom.

abc: 4.7448 4.7448 4.7448
angles: 60.00 60.00 60.00
Each line ends with the local moment (μB).
Fractional positions:
1 Cd 0.7500 0.7500 0.7500  0.04
2 Cl 0.0000 0.0000 0.0000  0.29
3 P 0.5000 0.5000 0.5000  0.74



2.
This record from Alexandria via LeMat-Bulk describes a geometry-optimized Na3PrTh3Te8 structure. The functional is PBE.

## Properties
As for the mass density: 6.05 Mg/m³. The crystal system is trigonal. For the density of states at the Fermi level, the calculation gives 8.1 states/eV/cell. The raw formation energy comes out at -1.170 eV per atom.

abc: 8.8992 8.8987 9.2641
angles: 118.70 90.00 120.00
Fractional positions:
1 Te 0.7402 0.9917 0.7429
2 Te 0.7485 0.4970 0.7452
3 Te 0.2515 0.9917 0.7429
4 Te 0.7485 0.0083 0.2571
5 Te 0.2515 0.5030 0.2548
6 Te 0.2515 0.5030 0.7429
7 Te 0.2598 0.0083 0.2571
8 Te 0.7485 0.4970 0.2571
9 Th 0.5000 0.5000 0.5000
10 Th 0.5000 0.0000 0.5000
11 Th 0.0000 0.5000 0.5000
12 Na 0.5000 0.5000 0.0000
13 Na 0.0000 0.0000 0.0000
14 Na 0.0000 0.5000 0.0000
15 Pr 0.0000 0.0000 0.5000



3.
This record from Alexandria via LeMat-Bulk describes a geometry-optimized Hf2FeSi structure. The functional is PBE.

## Properties
As for the mass density: 10.94 Mg/m³. The crystal system is tetragonal. For the density of states at the Fermi level, the calculation gives 15.1 states/eV/cell. The raw formation energy comes out at -0.566 eV per atom.

abc: 3.6662 3.6662 19.9217
angles: 90.00 90.00 90.00
Fractional positions:
1 Hf 0.0000 0.0000 0.3019
2 Hf 0.5000 0.0000 0.4465
3 Hf 0.5000 0.5000 0.1981
4 Hf 0.5000 0.0000 0.0535
5 Hf 0.0000 0.5000 0.9465
6 Hf 0.5000 0.5000 0.8019
7 Hf 0.0000 0.5000 0.5535
8 Hf 0.0000 0.0000 0.6981
9 Si 0.0000 0.0000 0.1619
10 Si 0.0000 0.0000 0.8381
11 Si 0.5000 0.5000 0.3381
12 Si 0.5000 0.5000 0.6619
13 Fe 0.0000 0.5000 0.4140
14 Fe 0.5000 0.0000 0.9140
15 Fe 0.5000 0.0000 0.5860
16 Fe 0.0000 0.5000 0.0860



4.
This record from Alexandria via LeMat-Bulk describes a geometry-optimized Ho3ErHg7 structure. The functional is PBE.

## Properties
As for the mass density: 9.75 Mg/m³. The crystal system is orthorhombic. For the density of states at the Fermi level, the calculation gives 21.3 states/eV/cell. The calculation puts the formation enthalpy at 0 K at -209.2 meV/atom.

abc: 3.5973 15.7642 12.4956
angles: 90.00 90.00 96.55
Fractional positions:
1 Hg 0.5116 0.0231 0.8811
2 Hg 0.5810 0.1619 0.2500
3 Hg 0.4190 0.8381 0.7500
4 Hg 0.3722 0.7444 0.0974
5 Hg 0.5116 0.0231 0.6189
6 Hg 0.6278 0.2556 0.9026
7 Hg 0.4884 0.9769 0.3811
8 Hg 0.7297 0.4593 0.9217
9 Hg 0.2703 0.5407 0.0783
10 Hg 0.7297 0.4593 0.5783
11 Hg 0.4884 0.9769 0.1189
12 Hg 0.2703 0.5407 0.4217
13 Hg 0.3722 0.7444 0.4026
14 Hg 0.6278 0.2556 0.5974
15 Ho 0.0677 0.1354 0.4523
16 Ho 0.1876 0.3751 0.7500
17 Ho 0.8124 0.6249 0.2500
18 Ho 0.9323 0.8646 0.9523
19 Ho 0.9323 0.8646 0.5477
20 Ho 0.0677 0.1354 0.0477
21 Er 0.9277 0.8555 0.2500
22 Er 0.0723 0.1445 0.7500



5.
This record from Alexandria via LeMat-Bulk describes a geometry-optimized SmInCl structure. The functional is PBE.

## Properties
As for the mass density: 6.13 Mg/m³. The crystal system is monoclinic. For the density of states at the Fermi level, the calculation gives 4.5 states/eV/cell. The raw formation energy comes out at -1.132 eV per atom.

abc: 3.9423 7.3935 11.4212
angles: 96.20 99.94 90.00
Fractional positions:
1 Cl 0.9149 0.5601 0.8297
2 Cl 0.0851 0.4399 0.1703
3 Cl 0.4656 0.1938 0.9313
4 Cl 0.5344 0.8062 0.0687
5 Sm 0.5921 0.1565 0.1842
6 Sm 0.4079 0.8435 0.8158
7 Sm 0.6486 0.6728 0.2972
8 Sm 0.3514 0.3272 0.7028
9 In 0.1951 0.0192 0.3901
10 In 0.7329 0.3322 0.4658
11 In 0.2671 0.6678 0.5342
12 In 0.8049 0.9808 0.6099



6.
This record from Alexandria via LeMat-Bulk describes a geometry-optimized CuHSCl2 structure. The functional is PBE.

## Properties
As for the mass density: 2.64 Mg/m³. The crystal system is tetragonal. For the density of states at the Fermi level, the calculation gives 3.7 states/eV/cell. Its energy above the most stable polymorph in this dataset is 0.067 eV/atom.

abc: 4.8380 4.8380 4.5019
angles: 90.00 90.00 90.00
Each line ends with the local moment (μB).
Fractional positions:
1 Cl 0.0000 0.5000 0.0000  0.18
2 Cl 0.5000 0.0000 0.0000  0.18
3 H 0.5000 0.5000 0.5000  0.37
4 Cu 0.0000 0.0000 0.0000  0.17
5 S 0.0000 0.0000 0.5000  0.86



Question: Which formula does entry 5 have?
Answer: SmInCl